1.
Here is a relaxed structure of ScTeMo2 from Alexandria via LeMat-Bulk. Energies are from PBE.

The value obtained for the raw total energy is -88.0 eV per cell. Its total moment is 0.0 μB/f.u. As for the formation energy (no corrections): 0.45 eV per atom. Its crystal system is trigonal.

It has space group R-3m (No. 166, hexagonal axes), with a = 3.2012 Å, b = 3.2012 Å, c = 26.1121 Å, α = 90.00°, β = 90.00° and γ = 120.00°. The distinct sites, in fractional coordinates, are Sc at (0.0000, 0.0000, 0.0000), Te at (0.0000, 0.0000, 0.5000) and Mo at (0.0000, 0.0000, 0.2453).

=====

2.
Here is a relaxed structure of ScTiTeMo2 from Alexandria via LeMat-Bulk. Energies are from PBE.

The value obtained for the raw total energy is -31.4 eV per cell. Its total moment is 0.6 μB/f.u. As for the formation energy (no corrections): 1.53 eV per atom. Its crystal system is tetragonal.

It has space group P4/mmm (No. 123), with a = 4.6674 Å, b = 4.6674 Å, c = 4.8930 Å, α = 90.00°, β = 90.00° and γ = 90.00°. The distinct sites, in fractional coordinates, are Sc at (0.0000, 0.0000, 0.0000), Ti at (0.0000, 0.0000, 0.5000), Te at (0.5000, 0.5000, 0.5000) and Mo at (0.0000, 0.5000, 0.0000).

=====

3.
Here is a relaxed structure of ThScMo from Alexandria via LeMat-Bulk. Energies are from PBE.

The value obtained for the raw total energy is -48.0 eV per cell. Its total moment is 0.0 μB/f.u. Its offset from the most stable computed form is 30 meV per atom. Its crystal system is tetragonal.

It has space group I4mm (No. 107), with a = 3.5352 Å, b = 3.5352 Å, c = 11.1437 Å, α = 90.00°, β = 90.00° and γ = 90.00°. The distinct sites, in fractional coordinates, are Th at (0.0000, 0.0000, 0.0000), Sc at (0.0000, 0.0000, 0.7106) and Mo at (0.0000, 0.0000, 0.3511).

=====

4.
Here is a relaxed structure of ThScMo from Alexandria via LeMat-Bulk. Energies are from PBE.

The value obtained for the raw total energy is -192.7 eV per cell. Its total moment is 0.0 μB/f.u. Its offset from the most stable computed form is 0 meV per atom. Its crystal system is orthorhombic.

It has space group Cmce (No. 64), with a = 6.2718 Å, b = 12.8620 Å, c = 7.3282 Å, α = 90.00°, β = 90.00° and γ = 90.00°. The distinct sites, in fractional coordinates, are Th at (0.0000, 0.2014, 0.1012), Sc at (0.2500, 0.0371, 0.7500) and Mo at (0.0000, 0.1151, 0.4445).

=====

5.
Here is a relaxed structure of ThSc2Mo from Alexandria via LeMat-Bulk. Energies are from PBE.

The value obtained for the raw total energy is -30.2 eV per cell. Its total moment is 0.0 μB/f.u. Its crystal system is tetragonal.

It has space group P4/mmm (No. 123), with a = 3.3535 Å, b = 3.3535 Å, c = 8.3440 Å, α = 90.00°, β = 90.00° and γ = 90.00°. The distinct sites, in fractional coordinates, are Th at (0.0000, 0.0000, 0.0000), Sc at (0.5000, 0.5000, 0.3085) and Mo at (0.0000, 0.0000, 0.5000).

=====

6.
Here is a relaxed structure of Th2ScMo from Alexandria via LeMat-Bulk. Energies are from PBE.

The value obtained for the raw total energy is -31.4 eV per cell. Its total moment is 0.0 μB/f.u. Its offset from the most stable computed form is 0 meV per atom. Its crystal system is tetragonal.

It has space group P4/mmm (No. 123), with a = 3.5973 Å, b = 3.5973 Å, c = 8.0033 Å, α = 90.00°, β = 90.00° and γ = 90.00°. The distinct sites, in fractional coordinates, are Th at (0.0000, 0.0000, 0.2206), Sc at (0.5000, 0.5000, 0.5000) and Mo at (0.5000, 0.5000, 0.0000).

=====

7.
Here is a relaxed structure of Th2ScMo from Alexandria via LeMat-Bulk. Energies are from PBE.

The value obtained for the raw total energy is -89.8 eV per cell. Its total moment is 0.0 μB/f.u. Its offset from the most stable computed form is 366 meV per atom. Its crystal system is trigonal.

It has space group R-3m (No. 166, hexagonal axes), with a = 3.4167 Å, b = 3.4167 Å, c = 32.1320 Å, α = 90.00°, β = 90.00° and γ = 120.00°. The distinct sites, in fractional coordinates, are Th at (0.0000, 0.0000, 0.0972), Sc at (0.0000, 0.0000, 0.0000) and Mo at (0.0000, 0.0000, 0.5000).

=====

8.
Here is a relaxed structure of TmThScMo from Alexandria via LeMat-Bulk. Energies are from PBE.

The value obtained for the raw total energy is -113.2 eV per cell. Its total moment is 0.0 μB/f.u. Its crystal system is cubic.

It has space group F-43m (No. 216), with a = 7.2618 Å, b = 7.2618 Å, c = 7.2618 Å, α = 90.00°, β = 90.00° and γ = 90.00°. The distinct sites, in fractional coordinates, are Tm at (0.0000, 0.0000, 0.0000), Th at (0.0000, 0.0000, 0.5000), Sc at (0.2500, 0.2500, 0.2500) and Mo at (0.2500, 0.2500, 0.7500).

=====

9.
Here is a relaxed structure of Sc2Ti2Mo from Alexandria via LeMat-Bulk. Energies are from PBE.

The value obtained for the raw total energy is -76.7 eV per cell. Its total moment is 0.0 μB/f.u. Its crystal system is tetragonal.

It has space group P4/mbm (No. 127), with a = 6.4529 Å, b = 6.4529 Å, c = 4.8151 Å, α = 90.00°, β = 90.00° and γ = 90.00°. The distinct sites, in fractional coordinates, are Sc at (0.1718, 0.3282, 0.0000), Ti at (0.1467, 0.6467, 0.5000) and Mo at (0.0000, 0.0000, 0.5000).

=====

10.
Here is a relaxed structure of ScTiMo from Alexandria via LeMat-Bulk. Energies are from PBE.

The value obtained for the raw total energy is -24.8 eV per cell. Its total moment is 0.0 μB/f.u. Its offset from the most stable computed form is 9 meV per atom. Its crystal system is trigonal.

It has space group P3m1 (No. 156), with a = 4.6224 Å, b = 4.6224 Å, c = 2.9106 Å, α = 90.00°, β = 90.00° and γ = 120.00°. The distinct sites, in fractional coordinates, are Sc at (0.0000, 0.0000, 0.0000), Ti at (0.6667, 0.3333, 0.4284) and Mo at (0.3333, 0.6667, 0.6184).

=====

11.
Here is a relaxed structure of Sc2TiMo2 from Alexandria via LeMat-Bulk. Energies are from PBE.

The value obtained for the raw total energy is -82.3 eV per cell. Its total moment is 0.0 μB/f.u. Its crystal system is tetragonal.

It has space group P4/mbm (No. 127), with a = 6.4928 Å, b = 6.4928 Å, c = 4.6422 Å, α = 90.00°, β = 90.00° and γ = 90.00°. The distinct sites, in fractional coordinates, are Sc at (0.1703, 0.3297, 0.0000), Ti at (0.0000, 0.0000, 0.5000) and Mo at (0.1368, 0.6368, 0.5000).

=====

12.
Here is a relaxed structure of Sc2Ti4Mo from Alexandria via LeMat-Bulk. Energies are from PBE.

The value obtained for the raw total energy is -101.3 eV per cell. Its total moment is 2.5 μB/f.u. Its crystal system is tetragonal.

It has space group I4/mmm (No. 139), with a = 4.6410 Å, b = 4.6410 Å, c = 14.7336 Å, α = 90.00°, β = 90.00° and γ = 90.00°. The distinct sites, in fractional coordinates, are Sc at (0.0000, 0.0000, 0.1304), Ti at (0.0000, 0.0000, 0.3304), Ti at (0.0000, 0.5000, 0.0000) and Mo at (0.0000, 0.0000, 0.5000).

=====

13.
Here is a relaxed structure of ScTiMo3 from Alexandria via LeMat-Bulk. Energies are from PBE.

The value obtained for the raw total energy is -37.8 eV per cell. Its total moment is 0.0 μB/f.u. Its offset from the most stable computed form is 681 meV per atom. Its crystal system is cubic.

It has space group Pm-3m (No. 221), with a = 4.5977 Å, b = 4.5977 Å, c = 4.5977 Å, α = 90.00°, β = 90.00° and γ = 90.00°. The distinct sites, in fractional coordinates, are Sc at (0.0000, 0.0000, 0.0000), Ti at (0.5000, 0.5000, 0.5000) and Mo at (0.0000, 0.0000, 0.5000).

=====

14.
Here is a relaxed structure of ScTiMo2 from Alexandria via LeMat-Bulk. Energies are from PBE.

The value obtained for the raw total energy is -140.7 eV per cell. Its total moment is 0.0 μB/f.u. Its offset from the most stable computed form is 0 meV per atom. Its crystal system is cubic.

It has space group Fm-3m (No. 225), with a = 6.4679 Å, b = 6.4679 Å, c = 6.4679 Å, α = 90.00°, β = 90.00° and γ = 90.00°. The distinct sites, in fractional coordinates, are Sc at (0.0000, 0.0000, 0.0000), Ti at (0.0000, 0.0000, 0.5000) and Mo at (0.2500, 0.2500, 0.2500).

=====

15.
Here is a relaxed structure of ScTiMo from Alexandria via LeMat-Bulk. Energies are from PBE.

The value obtained for the raw total energy is -199.0 eV per cell. Its total moment is 0.0 μB/f.u. Its offset from the most stable computed form is 0 meV per atom. Its crystal system is orthorhombic.

It has space group Amm2 (No. 38), with a = 8.9753 Å, b = 5.5209 Å, c = 9.1551 Å, α = 90.00°, β = 90.00° and γ = 90.00°. The distinct sites, in fractional coordinates, are Sc at (0.1768, 0.0000, 0.0000), Sc at (0.3018, 0.0000, 0.6667), Ti at (0.2471, 0.0000, 0.3238), Ti at (0.5000, 0.2471, 0.9235), Mo at (0.0000, 0.0000, 0.4972), Mo at (0.0000, 0.2398, 0.7486) and Mo at (0.5000, 0.0000, 0.1805).

=====

16.
Here is a relaxed structure of ScTiMo2 from Alexandria via LeMat-Bulk. Energies are from PBE.

The value obtained for the raw total energy is -134.1 eV per cell. Its total moment is 0.0 μB/f.u. Its offset from the most stable computed form is 414 meV per atom. Its crystal system is tetragonal.

It has space group I-42d (No. 122), with a = 7.1433 Å, b = 7.1433 Å, c = 5.6014 Å, α = 90.00°, β = 90.00° and γ = 90.00°. The distinct sites, in fractional coordinates, are Sc at (0.0000, 0.0000, 0.0000), Ti at (0.0000, 0.0000, 0.5000) and Mo at (0.2319, 0.2500, 0.6250).

=====

17.
Here is a relaxed structure of ScTi3Mo from Alexandria via LeMat-Bulk. Energies are from PBE.

The value obtained for the raw total energy is -38.1 eV per cell. Its total moment is 0.0 μB/f.u. Its offset from the most stable computed form is 0 meV per atom. Its crystal system is cubic.

It has space group Pm-3m (No. 221), with a = 4.7600 Å, b = 4.7600 Å, c = 4.7600 Å, α = 90.00°, β = 90.00° and γ = 90.00°. The distinct sites, in fractional coordinates, are Sc at (0.0000, 0.0000, 0.0000), Ti at (0.0000, 0.5000, 0.5000) and Mo at (0.5000, 0.5000, 0.5000).

=====

18.
Here is a relaxed structure of ScTi12Mo6 from Alexandria via LeMat-Bulk. Energies are from PBE.

The value obtained for the raw total energy is -479.3 eV per cell. Its total moment is 0.0 μB/f.u. Its crystal system is trigonal.

It has space group R-3m (No. 166, hexagonal axes), with a = 11.6538 Å, b = 11.6538 Å, c = 9.0763 Å, α = 90.00°, β = 90.00° and γ = 120.00°. The distinct sites, in fractional coordinates, are Sc at (0.0000, 0.0000, 0.0000), Ti at (0.0000, 0.3817, 0.5000), Ti at (0.0883, 0.1767, 0.3258) and Mo at (0.0530, 0.5265, 0.2524).

=====

19.
Here is a relaxed structure of ScTi2Mo from Alexandria via LeMat-Bulk. Energies are from PBE.

The value obtained for the raw total energy is -32.5 eV per cell. Its total moment is 0.0 μB/f.u. Its crystal system is tetragonal.

It has space group P4/mmm (No. 123), with a = 4.5434 Å, b = 4.5434 Å, c = 3.4136 Å, α = 90.00°, β = 90.00° and γ = 90.00°. The distinct sites, in fractional coordinates, are Sc at (0.0000, 0.0000, 0.0000), Ti at (0.0000, 0.5000, 0.5000) and Mo at (0.5000, 0.5000, 0.0000).

=====

20.
Here is a relaxed structure of ScTi3Mo from Alexandria via LeMat-Bulk. Energies are from PBE.

The value obtained for the raw total energy is -33.8 eV per cell. Its total moment is 0.0 μB/f.u. Its offset from the most stable computed form is 864 meV per atom. Its crystal system is cubic.

It has space group Pm-3m (No. 221), with a = 4.5206 Å, b = 4.5206 Å, c = 4.5206 Å, α = 90.00°, β = 90.00° and γ = 90.00°. The distinct sites, in fractional coordinates, are Sc at (0.0000, 0.0000, 0.0000), Ti at (0.0000, 0.0000, 0.5000) and Mo at (0.5000, 0.5000, 0.5000).